[1]
## CsMnPCl2 (PBE)

Data for crystalline CsMnPCl2 at its relaxed geometry.

a b c (Å): 5.3815 5.3815 4.6126
angles (deg): 90.00 90.00 90.00
Atoms (fractional coordinates):
Cl 0.0000 0.5000 0.0000
Cl 0.5000 0.0000 0.0000
Cs 0.5000 0.5000 0.5000
P 0.0000 0.0000 0.5000
Mn 0.0000 0.0000 0.0000

Summary:
The calculation puts the total magnetization at 0.601 μB per atom. As for the space group: No. 123. The calculation puts the uncorrected formation energy at -0.7353 eV/atom. The density of states at the Fermi level is 1.15 states/eV/f.u.

=====

[2]
## Cs2MnPCl6 (PBE)

Data for crystalline Cs2MnPCl6 at its relaxed geometry.

a b c (Å): 7.2191 7.2191 7.7401
angles (deg): 62.20 62.20 90.00
Atoms (fractional coordinates):
P 0.5000 0.5000 0.0000
Cl 0.2628 0.2628 0.0000
Cl 0.7988 0.7988 0.4025
Cl 0.2628 0.7372 0.0000
Cl 0.7372 0.7372 0.0000
Cl 0.7372 0.2628 0.0000
Cl 0.2012 0.2012 0.5975
Cs 0.2500 0.7500 0.5000
Cs 0.7500 0.2500 0.5000
Mn 0.0000 0.0000 0.0000

Summary:
The calculation puts the total magnetization at 0.600 μB per atom. As for the space group: No. 139. The calculation puts the uncorrected formation energy at -1.1721 eV/atom. The density of states at the Fermi level is 0.00 states/eV/f.u.

=====

[3]
## CsPrMn2Cl8 (PBE)

Data for crystalline CsPrMn2Cl8 at its relaxed geometry.

a b c (Å): 6.5766 6.5766 11.4207
angles (deg): 73.27 73.27 60.00
Atoms (fractional coordinates):
Cl 0.6828 0.6828 0.9516
Cl 0.3172 0.3172 0.0484
Cl 0.1210 0.7744 0.6651
Cl 0.5605 0.2256 0.3349
Cl 0.7744 0.4395 0.6651
Cl 0.4395 0.1210 0.6651
Cl 0.2256 0.8790 0.3349
Cl 0.8790 0.5605 0.3349
Mn 0.2470 0.2470 0.2591
Mn 0.7530 0.7530 0.7409
Pr 0.5000 0.5000 0.5000
Cs 0.0000 0.0000 0.0000

Summary:
The calculation puts the total magnetization at 0.833 μB per atom. As for the space group: No. 155. The calculation puts the uncorrected formation energy at -1.6158 eV/atom. The density of states at the Fermi level is 0.00 states/eV/f.u.